# 1
This record from Alexandria describes TmHfGaFe after structural relaxation. The functional is PBE-GGA.

As for the energy of formation: -220 meV per atom. The total magnetization comes out at 3.42 μB per cell. As for the space-group type: F-43m.

a = 6.668 Å, b = 6.668 Å, c = 6.668 Å
α = 90.00°, β = 90.00°, γ = 90.00°
Positions (direct):
Tm1 0.000 0.000 0.000
Tm2 0.000 0.500 0.500
Tm3 0.500 0.000 0.500
Tm4 0.500 0.500 0.000
Hf1 0.000 0.000 0.500
Hf2 0.000 0.500 0.000
Hf3 0.500 0.000 0.000
Hf4 0.500 0.500 0.500
Ga1 0.250 0.250 0.250
Ga2 0.250 0.750 0.750
Ga3 0.750 0.250 0.750
Ga4 0.750 0.750 0.250
Fe1 0.250 0.250 0.750
Fe2 0.250 0.750 0.250
Fe3 0.750 0.250 0.250
Fe4 0.750 0.750 0.750


# 2
This record from Alexandria describes LuZrBe after structural relaxation. The functional is PBE-GGA.

As for the energy of formation: 51 meV per atom. The total magnetization comes out at 0.00 μB per cell. As for the space-group type: I4mm.

a = 3.234 Å, b = 3.234 Å, c = 11.517 Å
α = 90.00°, β = 90.00°, γ = 90.00°
Positions (direct):
Lu1 0.000 0.000 0.000
Lu2 0.500 0.500 0.500
Zr1 0.000 0.000 0.291
Zr2 0.500 0.500 0.791
Be1 0.000 0.000 0.659
Be2 0.500 0.500 0.159


# 3
This record from Alexandria describes Pm4InBr5 after structural relaxation. The functional is PBE-GGA.

The total magnetization comes out at 0.00 μB per cell. As for the space-group type: C2/m. As for the uncorrected formation energy: -1.321 eV per atom.

a = 9.487 Å, b = 9.487 Å, c = 8.900 Å
α = 100.69°, β = 100.69°, γ = 25.44°
Positions (direct):
Pm1 0.003 0.003 0.245
Pm2 0.335 0.335 0.931
Pm3 0.665 0.665 0.069
Pm4 0.997 0.997 0.755
In1 0.500 0.500 0.000
Br1 0.168 0.168 0.314
Br2 0.168 0.168 0.822
Br3 0.500 0.500 0.500
Br4 0.832 0.832 0.178
Br5 0.832 0.832 0.686


# 4
This record from Alexandria describes BeRe2Sn2 after structural relaxation. The functional is PBE-GGA.

As for the polymorph energy (0 for the lowest one): 0 meV/atom. As for the energy of formation: 423 meV per atom. The total magnetization comes out at 0.00 μB per cell. As for the space-group type: P4/mbm.

a = 6.335 Å, b = 6.335 Å, c = 4.278 Å
α = 90.00°, β = 90.00°, γ = 90.00°
Positions (direct):
Be1 0.000 0.000 0.000
Be2 0.500 0.500 0.000
Re1 0.145 0.355 0.000
Re2 0.355 0.855 0.000
Re3 0.645 0.145 0.000
Re4 0.855 0.645 0.000
Sn1 0.169 0.669 0.500
Sn2 0.331 0.169 0.500
Sn3 0.669 0.831 0.500
Sn4 0.831 0.331 0.500


# 5
This record from Alexandria describes TbSm2C after structural relaxation. The functional is PBE-GGA.

As for the energy of formation: 15 meV per atom. The total magnetization comes out at 0.00 μB per cell. As for the space-group type: R-3m.

a = 3.590 Å, b = 3.590 Å, c = 29.682 Å
α = 90.00°, β = 90.00°, γ = 120.00°
Positions (direct):
Tb1 0.000 0.000 0.000
Tb2 0.333 0.667 0.667
Tb3 0.667 0.333 0.333
Sm1 0.000 0.000 0.120
Sm2 0.000 0.000 0.880
Sm3 0.333 0.667 0.547
Sm4 0.333 0.667 0.786
Sm5 0.667 0.333 0.214
Sm6 0.667 0.333 0.453
C1 0.000 0.000 0.500
C2 0.333 0.667 0.167
C3 0.667 0.333 0.833


# 6
This record from Alexandria describes Pm2PaSi3 after structural relaxation. The functional is PBE-GGA.

The total magnetization comes out at 0.00 μB per cell. As for the space-group type: Immm. As for the uncorrected formation energy: -0.456 eV per atom.

a = 4.164 Å, b = 5.906 Å, c = 12.586 Å
α = 90.00°, β = 90.00°, γ = 90.00°
Positions (direct):
Pm1 0.000 0.000 0.170
Pm2 0.000 0.000 0.830
Pm3 0.500 0.500 0.330
Pm4 0.500 0.500 0.670
Pa1 0.000 0.000 0.500
Pa2 0.500 0.500 0.000
Si1 0.000 0.500 0.156
Si2 0.000 0.500 0.500
Si3 0.000 0.500 0.844
Si4 0.500 0.000 0.000
Si5 0.500 0.000 0.344
Si6 0.500 0.000 0.656